# ScReBr2

ScReBr2 after structural relaxation (PBE, the Alexandria database).

Unit cell a=4.499 b=4.499 c=8.968 alpha=75.48 beta=75.48 gamma=90.00
Element x y z (fractional)
1 Re 0.750 0.250 0.500
2 Sc 0.250 0.750 0.500
3 Br 0.642 0.125 0.250
4 Re 0.000 0.000 0.000
5 Br 0.875 0.892 0.750
6 Br 0.375 0.358 0.750
7 Br 0.108 0.625 0.250
8 Sc 0.500 0.500 0.000

Results
The calculation puts the formation energy (no corrections) at 0.33 eV per atom. The value obtained for the calculated total energy is -5.21 eV/atom. As for the magnetization: 0.000 μB per formula unit.